Entry 1:
A plane-wave DFT calculation with PBE was carried out for a relaxed structure of BeSi2Te.

## Properties
**Energy relative to the elements, uncorrected**: 0.373 eV per atom
**DOS(E_F)**: 0.4305 states/eV per atom
**Calculated density**: 4.65 Mg/m³
**Total moment**: 0.000 μB per atom
**Offset from the most stable computed form**: 87 kJ/mol of formula units
**Crystal system**: orthorhombic

```
BeSi2Te
1.0
4.779 0.000 0.000
0.000 3.822 0.003
0.000 0.624 3.771
Te Si Be
1 2 1
Cartesian
2.389 1.111 0.944
0.000 2.430 2.063
0.000 4.239 3.598
2.389 3.334 2.831
```



Entry 2:
A plane-wave DFT calculation with PBE was carried out for a relaxed structure of BeSiTe2.

## Properties
**Energy relative to the elements, uncorrected**: 0.169 eV per atom
**DOS(E_F)**: 0.0875 states/eV per atom
**Calculated density**: 4.27 Mg/m³
**Total moment**: 0.000 μB per atom
**Offset from the most stable computed form**: 29 kJ/mol of formula units
**Crystal system**: tetragonal

```
BeSiTe2
1.0
6.378 0.000 0.000
0.000 6.378 0.000
3.189 3.189 5.584
Be Si Te
2 2 4
Cartesian
3.189 3.189 0.000
3.189 6.378 2.792
6.378 3.189 2.792
0.000 0.000 0.000
4.435 1.595 1.396
4.784 5.132 4.188
1.943 4.784 1.396
7.973 7.624 4.188
```



Entry 3:
A plane-wave DFT calculation with PBE was carried out for a relaxed structure of BeSiTe2.

## Properties
**Energy relative to the elements, uncorrected**: 0.469 eV per atom
**DOS(E_F)**: 0.4348 states/eV per atom
**Calculated density**: 5.55 Mg/m³
**Total moment**: 0.000 μB per atom
**Offset from the most stable computed form**: 145 kJ/mol of formula units
**Crystal system**: orthorhombic

```
BeSiTe2
1.0
-3.346 -3.978 -3.348
-3.110 -4.798 2.355
0.959 6.109 0.046
Si Te Be
1 2 1
Cartesian
-3.220 -2.260 0.870
-6.332 -8.608 -0.975
-2.379 -0.546 -1.833
-3.250 -4.418 -0.500
```



Entry 4:
A plane-wave DFT calculation with PBE was carried out for a relaxed structure of TiBeSiTe2.

## Properties
**Energy relative to the elements, uncorrected**: 1.005 eV per atom
**DOS(E_F)**: 1.2155 states/eV per atom
**Calculated density**: 4.30 Mg/m³
**Total moment**: 0.000 μB per atom
**Crystal system**: tetragonal

```
TiBeSiTe2
1.0
5.251 0.000 0.000
0.000 4.768 0.000
0.000 0.000 5.251
Te Ti Be Si
2 1 1 1
Cartesian
0.000 0.000 2.626
2.626 0.000 0.000
0.000 2.384 0.000
2.626 2.384 2.626
0.000 0.000 0.000
```



Entry 5:
A plane-wave DFT calculation with PBE was carried out for a relaxed structure of Be2VSiTe.

## Properties
**Energy relative to the elements, uncorrected**: 1.016 eV per atom
**DOS(E_F)**: 1.2032 states/eV per atom
**Calculated density**: 3.83 Mg/m³
**Total moment**: 0.129 μB per atom
**Crystal system**: tetragonal

```
Be2VSiTe
1.0
4.054 0.000 0.000
0.000 5.924 0.000
0.000 0.000 4.054
Be Si V Te
2 1 1 1
Cartesian
2.027 0.000 0.000
0.000 0.000 2.027
0.000 0.000 0.000
2.027 2.962 2.027
0.000 2.962 0.000
```



Entry 6:
A plane-wave DFT calculation with PBE was carried out for a relaxed structure of ThBe2Si.

## Properties
**Energy relative to the elements, uncorrected**: -0.241 eV per atom
**DOS(E_F)**: 0.5184 states/eV per atom
**Calculated density**: 7.18 Mg/m³
**Total moment**: 0.000 μB per atom
**Crystal system**: trigonal

```
ThBe2Si
1.0
-2.643 -2.005 1.946
-1.030 -3.504 -1.208
2.397 -3.873 3.066
Be Si Th
2 1 1
Cartesian
-0.422 -7.337 3.270
-0.854 -2.045 0.534
0.000 0.000 0.000
-0.638 -4.691 1.902
```



Number 5 is which compound?
Be2VSiTe